LaMgFeCuO6, relaxed, DFT PBE+U; mass density = 5.51 g cm⁻³; final energy = -128.02 eV for the cell shown
1.0
5.208 0.000 0.000
0.000 5.385 0.000
-4.845 0.000 8.130
La Mg Fe Cu O
2 2 2 2 12
direct
0.000 0.206 0.000
0.000 0.794 0.500
0.566 0.308 0.511
0.566 0.692 0.011
0.274 0.258 0.751
0.274 0.742 0.251
0.756 0.247 0.250
0.756 0.753 0.750
0.197 0.232 0.536
0.197 0.768 0.036
0.420 0.296 0.978
0.420 0.704 0.478
0.542 0.049 0.324
0.542 0.951 0.824
0.610 0.497 0.819
0.610 0.503 0.319
0.901 0.046 0.697
0.901 0.954 0.197
0.958 0.478 0.187
0.958 0.522 0.687